w | An optimized crystal structure of Sb2TeOsSe, computed with GGA-PBE.

abc: 5.214 5.214 5.191
angles: 90.00 90.00 90.00
Space group P4/mmm (No. 123)
Symmetry-distinct sites (fractional):
Sb  0.000  0.500  0.000 [2 per cell]
Te  0.000  0.000  0.500 [1 per cell]
Os  0.500  0.500  0.500 [1 per cell]
Se  0.000  0.000  0.000 [1 per cell]

Properties
V = 141.12 Å³/cell

x | An optimized crystal structure of Sb2TeOsSe, computed with GGA-PBE.

abc: 5.138 5.138 5.249
angles: 90.00 90.00 90.00
Space group P4/mmm (No. 123)
Symmetry-distinct sites (fractional):
Sb  0.000  0.500  0.000 [2 per cell]
Te  0.000  0.000  0.500 [1 per cell]
Os  0.000  0.000  0.000 [1 per cell]
Se  0.500  0.500  0.500 [1 per cell]

Properties
V = 138.57 Å³/cell

Quick ranking, most stable first: x, w.

w | An optimized crystal structure of SbTe2OsSe, computed with GGA-PBE.

abc: 5.213 5.213 5.254
angles: 90.00 90.00 90.00
Space group P4/mmm (No. 123)
Symmetry-distinct sites (fractional):
Sb  0.000  0.000  0.000 [1 per cell]
Te  0.000  0.500  0.500 [2 per cell]
Os  0.500  0.500  0.000 [1 per cell]
Se  0.000  0.000  0.500 [1 per cell]

Properties
V = 142.80 Å³/cell

x | An optimized crystal structure of SbTe2OsSe, computed with GGA-PBE.

abc: 5.227 5.227 5.142
angles: 90.00 90.00 90.00
Space group P4/mmm (No. 123)
Symmetry-distinct sites (fractional):
Sb  0.000  0.000  0.000 [1 per cell]
Te  0.000  0.500  0.500 [2 per cell]
Os  0.000  0.000  0.500 [1 per cell]
Se  0.500  0.500  0.000 [1 per cell]

Properties
V = 140.50 Å³/cell

Quick ranking, most stable first: x, w.